Material: Na2Li5AgAu2
Method: DFT, GGA-PBE
State: optimized geometry

Cell lengths 10.867, 10.867, 3.363 Å; angles 90.00, 90.00, 90.00 degrees
Element x y z (fractional)
Na 0.172 0.328 0.000
Na 0.328 0.828 0.000
Na 0.672 0.172 0.000
Na 0.828 0.672 0.000
Li 0.000 0.500 0.500
Li 0.061 0.806 0.500
Li 0.194 0.061 0.500
Li 0.306 0.561 0.500
Li 0.439 0.306 0.500
Li 0.500 0.000 0.500
Li 0.561 0.694 0.500
Li 0.694 0.439 0.500
Li 0.806 0.939 0.500
Li 0.939 0.194 0.500
Ag 0.000 0.000 0.000
Ag 0.500 0.500 0.000
Au 0.130 0.630 0.000
Au 0.370 0.130 0.000
Au 0.630 0.870 0.000
Au 0.870 0.370 0.000

Electronic total energy ... -2.43 eV per atom

=====

Material: NaLiAgAu
Method: DFT, GGA-PBE
State: optimized geometry

Cell lengths 6.686, 6.686, 6.686 Å; angles 90.00, 90.00, 90.00 degrees
Element x y z (fractional)
Na 0.000 0.000 0.000
Na 0.000 0.500 0.500
Na 0.500 0.000 0.500
Na 0.500 0.500 0.000
Li 0.250 0.250 0.250
Li 0.250 0.750 0.750
Li 0.750 0.250 0.750
Li 0.750 0.750 0.250
Ag 0.250 0.250 0.750
Ag 0.250 0.750 0.250
Ag 0.750 0.250 0.250
Ag 0.750 0.750 0.750
Au 0.000 0.000 0.500
Au 0.000 0.500 0.000
Au 0.500 0.000 0.000
Au 0.500 0.500 0.500

Electronic total energy ... -2.57 eV per atom
Energy above the lowest structure with this stoichiometry ... 0 meV per atom

=====

Material: LiNd2AgAu2
Method: DFT, GGA-PBE
State: optimized geometry

Cell lengths 8.882, 8.882, 8.882 Å; angles 140.43, 57.24, 140.38 degrees
Element x y z (fractional)
Li 0.250 0.250 0.000
Li 0.750 0.750 0.000
Nd 0.166 0.721 0.887
Nd 0.334 0.221 0.555
Nd 0.666 0.779 0.445
Nd 0.834 0.279 0.113
Ag 0.250 0.750 0.500
Ag 0.750 0.250 0.500
Au 0.130 0.219 0.349
Au 0.370 0.719 0.089
Au 0.630 0.281 0.911
Au 0.870 0.781 0.651

Electronic total energy ... -4.03 eV per atom

=====

Material: LiNiAgAu
Method: DFT, GGA-PBE
State: optimized geometry

Cell lengths 6.178, 6.178, 6.178 Å; angles 90.00, 90.00, 90.00 degrees
Element x y z (fractional)
Li 0.000 0.000 0.000
Li 0.000 0.500 0.500
Li 0.500 0.000 0.500
Li 0.500 0.500 0.000
Ni 0.000 0.000 0.500
Ni 0.000 0.500 0.000
Ni 0.500 0.000 0.000
Ni 0.500 0.500 0.500
Ag 0.250 0.250 0.250
Ag 0.250 0.750 0.750
Ag 0.750 0.250 0.750
Ag 0.750 0.750 0.250
Au 0.250 0.250 0.750
Au 0.250 0.750 0.250
Au 0.750 0.250 0.250
Au 0.750 0.750 0.750

Electronic total energy ... -3.58 eV per atom

=====

Material: Li2AgAuO4
Method: DFT, GGA-PBE
State: optimized geometry

Cell lengths 5.431, 5.431, 5.771 Å; angles 90.00, 90.00, 90.00 degrees
Element x y z (fractional)
Li 0.000 0.500 0.250
Li 0.000 0.500 0.750
Li 0.500 0.000 0.250
Li 0.500 0.000 0.750
Ag 0.000 0.000 0.000
Ag 0.500 0.500 0.500
Au 0.000 0.000 0.500
Au 0.500 0.500 0.000
O 0.250 0.250 0.250
O 0.250 0.250 0.750
O 0.250 0.750 0.250
O 0.250 0.750 0.750
O 0.750 0.250 0.250
O 0.750 0.250 0.750
O 0.750 0.750 0.250
O 0.750 0.750 0.750

Electronic total energy ... -4.12 eV per atom
Formation energy from raw total energies ... -394.0 meV/atom

=====

Material: LiAgAuO2
Method: DFT, GGA-PBE
State: optimized geometry

Cell lengths 6.395, 6.395, 5.919 Å; angles 90.00, 90.00, 130.22 degrees
Element x y z (fractional)
Li 0.250 0.250 0.000
Li 0.750 0.750 0.000
Ag 0.250 0.750 0.798
Ag 0.750 0.250 0.202
Au 0.000 0.000 0.500
Au 0.500 0.500 0.500
O 0.074 0.926 0.805
O 0.426 0.574 0.805
O 0.574 0.426 0.195
O 0.926 0.074 0.195

Electronic total energy ... -4.18 eV per atom
Formation energy from raw total energies ... -589.7 meV/atom

=====

Material: LiAgOsAu2
Method: DFT, GGA-PBE
State: optimized geometry

Cell lengths 5.120, 5.120, 5.003 Å; angles 90.00, 90.00, 90.00 degrees
Element x y z (fractional)
Li 0.000 0.000 0.000
Ag 0.500 0.500 0.500
Os 0.500 0.500 0.000
Au 0.000 0.500 0.500
Au 0.500 0.000 0.500

Electronic total energy ... -3.15 eV per atom

=====

Material: LiPaAgAu
Method: DFT, GGA-PBE
State: optimized geometry

Cell lengths 6.942, 6.942, 6.942 Å; angles 90.00, 90.00, 90.00 degrees
Element x y z (fractional)
Li 0.000 0.000 0.000
Li 0.000 0.500 0.500
Li 0.500 0.000 0.500
Li 0.500 0.500 0.000
Pa 0.000 0.000 0.500
Pa 0.000 0.500 0.000
Pa 0.500 0.000 0.000
Pa 0.500 0.500 0.500
Ag 0.250 0.250 0.250
Ag 0.250 0.750 0.750
Ag 0.750 0.250 0.750
Ag 0.750 0.750 0.250
Au 0.250 0.250 0.750
Au 0.250 0.750 0.250
Au 0.750 0.250 0.250
Au 0.750 0.750 0.750

Electronic total energy ... -4.45 eV per atom

=====

Material: Li2AgPbAu
Method: DFT, GGA-PBE
State: optimized geometry

Cell lengths 5.511, 6.839, 5.215 Å; angles 90.00, 90.00, 90.00 degrees
Element x y z (fractional)
Li 0.250 0.202 0.244
Li 0.250 0.798 0.244
Li 0.750 0.202 0.756
Li 0.750 0.798 0.756
Ag 0.000 0.500 0.000
Ag 0.500 0.500 0.000
Pb 0.250 0.000 0.746
Pb 0.750 0.000 0.254
Au 0.250 0.500 0.532
Au 0.750 0.500 0.468

Electronic total energy ... -2.92 eV per atom

=====

Material: LiAg2Pd2Au4
Method: DFT, GGA-PBE
State: optimized geometry

Cell lengths 4.974, 5.240, 6.871 Å; angles 70.67, 73.01, 83.50 degrees
Element x y z (fractional)
Li 0.000 0.000 0.000
Ag 0.402 0.296 0.441
Ag 0.598 0.704 0.559
Pd 0.019 0.540 0.779
Pd 0.981 0.460 0.221
Au 0.161 0.879 0.353
Au 0.448 0.273 0.966
Au 0.552 0.727 0.034
Au 0.839 0.121 0.647

Electronic total energy ... -3.56 eV per atom

=====

Material: Li2Ag2Pd4Au
Method: DFT, GGA-PBE
State: optimized geometry

Cell lengths 4.725, 5.247, 6.952 Å; angles 81.76, 70.74, 64.32 degrees
Element x y z (fractional)
Li 0.175 0.258 0.104
Li 0.825 0.742 0.896
Ag 0.291 0.359 0.564
Ag 0.709 0.641 0.436
Pd 0.265 0.911 0.820
Pd 0.336 0.648 0.176
Pd 0.664 0.352 0.824
Pd 0.735 0.089 0.180
Au 0.000 0.000 0.500

Electronic total energy ... -3.92 eV per atom

=====

Material: LiAgPdAu2
Method: DFT, GGA-PBE
State: optimized geometry

Cell lengths 6.342, 4.079, 6.441 Å; angles 90.00, 90.78, 90.00 degrees
Element x y z (fractional)
Li 0.239 0.250 0.247
Li 0.761 0.750 0.753
Ag 0.452 0.250 0.645
Ag 0.548 0.750 0.355
Pd 0.146 0.750 0.552
Pd 0.854 0.250 0.448
Au 0.042 0.250 0.842
Au 0.351 0.750 0.947
Au 0.649 0.250 0.053
Au 0.958 0.750 0.158

Electronic total energy ... -3.56 eV per atom

=====

> Look up the electronic total energy of the eleventh one.

-3.92 eV per atom